[1]
5
Lattice="5.6294 0.0000 0.0000 0.0000 5.6294 0.0000 0.0000 0.0000 5.6294" Properties=species:S:1:pos:R:3 comment="NaHg3Au, optimized geometry, DFT PBE" dos_ef_per_ev_atom=0.23 e_form_ev_per_atom=0.331 relative_energy_mev_per_atom=481 pbc="T T T"
Na 0.0000 0.0000 0.0000
Hg 0.0000 0.0000 2.8147
Hg 0.0000 2.8147 0.0000
Hg 2.8147 0.0000 0.0000
Au 2.8147 2.8147 2.8147


[2]
4
Lattice="4.3668 0.0000 0.0000 0.0000 4.3668 0.0000 0.0000 0.0000 6.0889" Properties=species:S:1:pos:R:3 comment="PrDySbSe, optimized geometry, DFT PBE" dos_ef_per_ev_atom=0.36 raw_formation_energy_ev_per_fu=-5.71 pbc="T T T"
Pr 0.0000 0.0000 0.0000
Dy 2.1834 2.1834 3.0444
Sb 2.1834 2.1834 0.0000
Se 0.0000 0.0000 3.0444


[3]
6
Lattice="3.0164 0.0000 0.0000 1.5065 3.6224 0.0000 0.3732 0.9885 9.8332" Properties=species:S:1:pos:R:3 comment="BeRhBr, optimized geometry, DFT PBE" dos_ef_per_ev_atom=1.17 raw_formation_energy_ev_per_fu=-0.72 relative_energy_mev_per_atom=187 pbc="T T T"
Be 0.7532 0.7590 0.3663
Be 4.1429 3.8519 9.4669
Rh 2.2612 2.3355 1.3091
Rh 2.6349 2.2755 8.5241
Br 1.1277 1.1554 6.6793
Br 3.7684 3.4555 3.1539


[4]
13
Lattice="-5.1277 5.1277 2.0885 5.1277 -5.1277 2.0885 5.1277 5.1277 -2.0885" Properties=species:S:1:pos:R:3 comment="Zn4Ag5Au4, optimized geometry, DFT PBE" dos_ef_per_ev_atom=0.41 e_form_ev_per_atom=-0.093 pbc="T T T"
Zn 2.4122 1.4383 0.0000
Zn 3.6893 -2.7154 2.0885
Zn 1.4383 7.8431 0.0000
Zn 2.7154 3.6893 2.0885
Ag 0.0000 0.0000 0.0000
Ag 4.5575 3.1925 0.0000
Ag 1.9351 -0.5702 2.0885
Ag 3.1925 5.6978 0.0000
Ag 0.5702 1.9351 2.0885
Au 6.3774 0.9369 0.0000
Au 0.9369 3.8779 0.0000
Au 4.1907 1.2497 2.0885
Au -1.2497 4.1907 2.0885


[5]
80
Lattice="-7.1444 7.1444 7.1444 7.1444 -7.1444 7.1444 7.1444 7.1444 -7.1444" Properties=species:S:1:pos:R:3 comment="Nb12Sn3B5, optimized geometry, DFT PBE" dos_ef_per_ev_atom=1.13 e_form_ev_per_atom=0.234 pbc="T T T"
Nb 2.0068 -0.6025 0.7895
Nb 8.7098 4.3616 -4.1747
Nb 6.5419 -0.7895 2.0068
Nb 11.3191 -1.5654 2.7827
Nb 9.1511 0.6025 0.7895
Nb 8.7098 -2.7827 4.1747
Nb 0.7895 2.0068 -0.6025
Nb 9.9271 2.9697 -1.5654
Nb 4.3616 4.1747 -1.5654
Nb 6.3549 2.0068 0.6025
Nb -0.6025 0.7895 2.0068
Nb 4.1747 -1.5654 4.3616
Nb 6.5419 6.3549 -2.0068
Nb 4.1747 1.5654 2.7827
Nb 6.3549 -2.0068 6.5419
Nb 4.3616 -4.1747 8.7098
Nb 2.7827 4.1747 1.5654
Nb 7.9338 5.1376 0.6025
Nb 2.0068 6.5419 -0.7895
Nb 8.7098 2.7827 2.9697
Nb 4.1747 8.7098 -2.7827
Nb 6.5419 0.7895 5.1376
Nb 1.5654 2.7827 4.1747
Nb 2.0068 0.6025 6.3549
Nb 5.1376 6.5419 0.7895
Nb 5.5790 4.3616 2.9697
Nb 0.6025 6.3549 2.0068
Nb 2.9697 -1.5654 9.9271
Nb -1.5654 4.3616 4.1747
Nb 5.1376 0.6025 7.9338
Nb -0.7895 2.0068 6.5419
Nb 4.3616 2.9697 5.5790
Nb 2.7827 11.3191 -1.5654
Nb 0.7895 9.1511 0.6025
Nb 2.9697 5.5790 4.3616
Nb 0.6025 0.7895 9.1511
Nb 2.9697 8.7098 2.7827
Nb 7.7469 6.3549 5.1376
Nb 0.7895 5.1376 6.5419
Nb 2.7827 2.9697 8.7098
Nb -2.7827 4.1747 8.7098
Nb 6.3549 5.1376 7.7469
Nb -1.5654 9.9271 2.9697
Nb -2.0068 6.5419 6.3549
Nb -4.1747 8.7098 4.3616
Nb 0.6025 7.9338 5.1376
Nb -1.5654 2.7827 11.3191
Nb 5.1376 7.7469 6.3549
Sn 3.5722 1.7861 0.0000
Sn 7.1444 3.5722 -1.7861
Sn 1.7861 0.0000 3.5722
Sn 8.9305 0.0000 3.5722
Sn 0.0000 3.5722 1.7861
Sn 3.5722 -1.7861 7.1444
Sn 3.5722 8.9305 0.0000
Sn 7.1444 3.5722 5.3583
Sn -1.7861 7.1444 3.5722
Sn 5.3583 7.1444 3.5722
Sn 0.0000 3.5722 8.9305
Sn 3.5722 5.3583 7.1444
B 0.0000 0.0000 0.0000
B 3.5722 3.5722 -3.5722
B 3.5722 -3.5722 3.5722
B 7.1444 0.0000 0.0000
B 10.7166 1.7861 0.0000
B 7.1444 -3.5722 5.3583
B 5.3583 7.1444 -3.5722
B 5.3583 0.0000 3.5722
B 3.5722 5.3583 0.0000
B 7.1444 3.5722 1.7861
B -3.5722 3.5722 3.5722
B 0.0000 7.1444 0.0000
B 0.0000 0.0000 7.1444
B 3.5722 3.5722 3.5722
B 0.0000 3.5722 5.3583
B 3.5722 1.7861 7.1444
B 1.7861 7.1444 3.5722
B 1.7861 0.0000 10.7166
B 0.0000 10.7166 1.7861
B -3.5722 5.3583 7.1444


[6]
3
Lattice="-1.7543 1.7543 3.9863 1.7543 -1.7543 3.9863 1.7543 1.7543 -3.9863" Properties=species:S:1:pos:R:3 comment="AlZnAu, optimized geometry, DFT PBE" dos_ef_per_ev_atom=0.33 e_form_ev_per_atom=-0.231 pbc="T T T"
Al 0.0000 0.0000 0.0000
Zn 0.0000 0.0000 2.6255
Au 0.0000 0.0000 5.2836


[7]
3
Lattice="4.3717 0.0000 0.0000 -2.1859 3.7860 0.0000 0.0000 0.0000 2.7204" Properties=species:S:1:pos:R:3 comment="NbCrRe, optimized geometry, DFT PBE" dos_ef_per_ev_atom=0.69 e_form_ev_per_atom=-0.018 relative_energy_mev_per_atom=81 pbc="T T T"
Nb 0.0000 0.0000 0.0000
Cr 0.0000 2.5240 1.8089
Re 2.1859 1.2620 0.9477


[8]
20
Lattice="7.4337 0.0000 0.0000 0.0000 8.5100 0.0000 -2.8616 0.0000 7.9158" Properties=species:S:1:pos:R:3 comment="Sm3SnH, optimized geometry, DFT PBE" dos_ef_per_ev_atom=0.94 relative_energy_mev_per_atom=25 pbc="T T T"
Sm -0.8430 1.4536 2.7421
Sm -2.2738 2.8014 6.7000
Sm 1.6797 0.2804 0.7267
Sm 0.2489 3.9746 4.6847
Sm 0.1006 5.7770 7.7626
Sm 1.5314 6.9881 3.8047
Sm 3.0407 1.5220 4.1111
Sm 4.4715 2.7331 0.1532
Sm 4.3232 4.5355 3.2312
Sm 2.8924 8.2296 7.1891
Sm 6.8458 5.7087 1.2159
Sm 5.4150 7.0564 5.1738
Sn 0.2261 0.7934 5.7531
Sn 1.6569 3.4617 1.7952
Sn 2.9152 5.0484 6.1207
Sn 4.3460 7.7167 2.1627
H -0.8465 5.6977 3.5853
H -2.2773 7.0674 7.5432
H 6.8494 1.4427 0.3726
H 5.4186 2.8123 4.3305


[9]
6
Lattice="0.0000 3.9206 3.9206 3.9206 0.0000 3.9206 3.9206 3.9206 0.0000" Properties=species:S:1:pos:R:3 comment="Sc4TcAg, optimized geometry, DFT PBE" dos_ef_per_ev_atom=0.84 e_form_ev_per_atom=0.502 relative_energy_mev_per_atom=653 pbc="T T T"
Sc 0.9683 0.9683 0.9683
Sc 2.9523 2.9523 0.9683
Sc 2.9523 0.9683 2.9523
Sc 0.9683 2.9523 2.9523
Tc 5.8809 5.8809 5.8809
Ag 3.9206 3.9206 3.9206


[10]
8
Lattice="4.6346 0.0000 0.0000 0.0000 4.6346 0.0000 0.0000 0.0000 6.5669" Properties=species:S:1:pos:R:3 comment="PmSc3Ru4, optimized geometry, DFT PBE" dos_ef_per_ev_atom=1.11 e_form_ev_per_atom=-0.396 pbc="T T T"
Pm 0.0000 0.0000 0.0000
Sc 0.0000 0.0000 3.2834
Sc 2.3173 2.3173 0.0000
Sc 2.3173 2.3173 3.2834
Ru 0.0000 2.3173 1.7052
Ru 0.0000 2.3173 4.8616
Ru 2.3173 0.0000 1.7052
Ru 2.3173 0.0000 4.8616


[11]
18
Lattice="5.2492 0.0000 0.0000 -2.6246 4.5460 0.0000 0.0000 0.0000 9.4584" Properties=species:S:1:pos:R:3 comment="LiZrNpO6, optimized geometry, DFT PBE" raw_formation_energy_ev_per_fu=-24.03 pbc="T T T"
Li 0.0000 3.0307 2.3646
Li 2.6246 1.5153 7.0938
Zr 0.0000 0.0000 0.0000
Zr 0.0000 0.0000 4.7292
Np 0.0000 3.0307 7.0938
Np 2.6246 1.5153 2.3646
O -0.7969 1.5537 5.9627
O -1.6775 3.0790 8.2250
O 0.7969 1.5537 8.2250
O -0.8806 4.4593 5.9627
O 1.7440 0.0867 1.2335
O 0.9471 1.4670 3.4958
O 1.6775 3.0790 5.9627
O 0.8806 4.4593 8.2250
O 3.5052 0.0867 3.4958
O 1.8277 2.9923 1.2335
O 4.3022 1.4670 1.2335
O 3.4215 2.9923 3.4958


[12]
10
Lattice="7.4510 0.0000 0.0000 0.0000 7.4510 0.0000 0.0000 0.0000 3.0271" Properties=species:S:1:pos:R:3 comment="Hf2TiNi2, optimized geometry, DFT PBE" dos_ef_per_ev_atom=0.71 e_form_ev_per_atom=-0.162 relative_energy_mev_per_atom=182 pbc="T T T"
Hf 1.1666 2.5589 0.0000
Hf 2.5589 6.2844 0.0000
Hf 4.8921 1.1666 0.0000
Hf 6.2844 4.8921 0.0000
Ti 0.0000 0.0000 0.0000
Ti 3.7255 3.7255 0.0000
Ni 1.0201 4.7456 1.5136
Ni 2.7054 1.0201 1.5136
Ni 4.7456 6.4309 1.5136
Ni 6.4309 2.7054 1.5136


no.,M_tot (μB/f.u.)
1,0.0
2,0.0
3,0.0
4,0.0
5,0.0
6,0.0
7,0.0
8,0.0
9,0.0
10,0.0
11,0.0
12,1.7